Record 1
Density functional theory data (PBE) for a geometry-optimized Zr3AlCu3 structure.

a = 8.0779 Å, b = 8.0774 Å, c = 4.3802 Å
α = 90.00°, β = 90.00°, γ = 120.01°
Fractional coordinates of all 14 atoms:
1 Zr 0.0970 0.4383 0.7500
2 Cu 0.9651 0.8005 0.7500
3 Cu 0.1646 0.9651 0.2500
4 Zr 0.5616 0.6587 0.7500
5 Cu 0.1996 0.1647 0.7500
6 Cu 0.0349 0.1995 0.2500
7 Zr 0.4384 0.3413 0.2500
8 Zr 0.6588 0.0971 0.2500
9 Cu 0.8004 0.8353 0.2500
10 Zr 0.3412 0.9029 0.7500
11 Al 0.6667 0.3334 0.7500
12 Cu 0.8354 0.0349 0.7500
13 Zr 0.9030 0.5617 0.2500
14 Al 0.3333 0.6666 0.2500

Calculated values
energy of formation from the pure elements: -131 meV per atom
excess energy over the best structure of this formula in the dataset: 0 kJ/mol of formula units


Record 2
Density functional theory data (PBE) for a geometry-optimized ZrAlCu3 structure.

a = 4.9133 Å, b = 4.9133 Å, c = 4.9133 Å
α = 90.00°, β = 90.00°, γ = 90.00°
Fractional coordinates of all 5 atoms:
1 Cu 0.0000 0.0000 0.5000
2 Cu 0.5000 0.0000 0.0000
3 Cu 0.0000 0.5000 0.0000
4 Al 0.5000 0.5000 0.5000
5 Zr 0.0000 0.0000 0.0000

Calculated values
energy of formation from the pure elements: 1309 meV per atom
excess energy over the best structure of this formula in the dataset: 731 kJ/mol of formula units


Record 3
Density functional theory data (PBE) for a geometry-optimized Zr3Al2Cu structure.

a = 5.5259 Å, b = 5.5259 Å, c = 4.9888 Å
α = 90.00°, β = 90.00°, γ = 120.00°
Fractional coordinates of all 6 atoms:
1 Cu 0.0000 0.0000 0.0000
2 Al 0.3333 0.6667 0.0000
3 Zr 0.5000 0.5000 0.5000
4 Zr 0.5000 0.0000 0.5000
5 Al 0.6667 0.3333 0.0000
6 Zr 0.0000 0.5000 0.5000

Calculated values
energy of formation from the pure elements: 451 meV per atom
excess energy over the best structure of this formula in the dataset: 432 kJ/mol of formula units


Record 4
Density functional theory data (PBE) for a geometry-optimized Zr2AlCu structure.

a = 5.8938 Å, b = 5.1119 Å, c = 9.9705 Å
α = 90.00°, β = 90.00°, γ = 90.00°
Fractional coordinates of all 16 atoms:
1 Al 0.5783 0.3748 0.6369
2 Zr 0.8302 0.1086 0.3951
3 Al 0.5783 0.8748 0.8631
4 Zr 0.3302 0.8914 0.6049
5 Cu 0.8066 0.3556 0.8657
6 Cu 0.3066 0.1444 0.3657
7 Al 0.0783 0.1252 0.1369
8 Zr 0.3302 0.3914 0.8951
9 Cu 0.3066 0.6444 0.1343
10 Zr 0.5700 0.6056 0.3773
11 Al 0.0783 0.6252 0.3631
12 Zr 0.8302 0.6086 0.1049
13 Zr 0.5700 0.1056 0.1227
14 Zr 0.0700 0.3944 0.6227
15 Cu 0.8066 0.8556 0.6343
16 Zr 0.0700 0.8944 0.8773

Calculated values
energy of formation from the pure elements: -130 meV per atom


Record 5
Density functional theory data (PBE) for a geometry-optimized Zr2AlCu structure.

a = 4.4677 Å, b = 4.4688 Å, c = 4.7040 Å
α = 90.00°, β = 90.00°, γ = 119.99°
Fractional coordinates of all 4 atoms:
1 Zr 0.6667 0.3334 0.2407
2 Cu 0.0000 0.0000 0.0000
3 Al 0.0000 0.0000 0.5000
4 Zr 0.3333 0.6666 0.7593

Calculated values
energy of formation from the pure elements: 39 meV per atom


Record 6
Density functional theory data (PBE) for a geometry-optimized ZrAl4Cu2 structure.

a = 5.4070 Å, b = 5.4070 Å, c = 4.8759 Å
α = 63.27°, β = 63.27°, γ = 88.50°
Fractional coordinates of all 7 atoms:
1 Al 0.9717 0.5939 0.7174
2 Zr 0.0000 0.0000 0.0000
3 Cu 0.4999 0.4999 0.7426
4 Cu 0.5001 0.5001 0.2574
5 Al 0.4061 0.0283 0.2826
6 Al 0.0283 0.4061 0.2826
7 Al 0.5939 0.9717 0.7174

Calculated values
energy of formation from the pure elements: -227 meV per atom
excess energy over the best structure of this formula in the dataset: 75 kJ/mol of formula units


Record 7
Density functional theory data (PBE) for a geometry-optimized Zr2AlCu structure.

a = 4.3701 Å, b = 4.3701 Å, c = 10.1467 Å
α = 90.00°, β = 90.00°, γ = 120.00°
Fractional coordinates of all 8 atoms:
1 Al 0.6667 0.3333 0.2500
2 Al 0.3333 0.6667 0.7500
3 Cu 0.0000 0.0000 0.0000
4 Zr 0.6667 0.3333 0.8989
5 Zr 0.6667 0.3333 0.6011
6 Zr 0.3333 0.6667 0.1011
7 Zr 0.3333 0.6667 0.3989
8 Cu 0.0000 0.0000 0.5000

Calculated values
energy of formation from the pure elements: 173 meV per atom


Record 8
Density functional theory data (PBE) for a geometry-optimized Zr2AlCu structure.

a = 3.0307 Å, b = 3.0306 Å, c = 9.8959 Å
α = 90.02°, β = 90.00°, γ = 120.00°
Fractional coordinates of all 4 atoms:
1 Cu 0.0000 0.0000 0.0067
2 Al 0.6666 0.3332 0.5273
3 Zr 0.6668 0.3335 0.2323
4 Zr 0.3333 0.6666 0.7787

Calculated values
energy of formation from the pure elements: 147 meV per atom


- Which of these has the lowest energy of formation from the pure elements?
  ZrAl4Cu2


- The lowest energy of formation from the pure elements belongs to which entry?
  ZrAl4Cu2